Entry from OQMD: Ag2GeTe3 after structural relaxation (PBE).

Lattice parameters (Å, degrees): 7.694 13.652 7.730 90.00 107.89 90.00
Space group Cc (No. 9)
Unique sites:
Ag: 0.000 0.090 0.000 (multiplicity 4)
Ag: 0.497 0.242 0.002 (multiplicity 4)
Ge: 0.470 0.081 0.475 (multiplicity 4)
Te: 0.109 0.423 0.348 (multiplicity 4)
Te: 0.113 0.085 0.380 (multiplicity 4)
Te: 0.115 0.262 0.878 (multiplicity 4)

Calculated values
Final energy (eV/atom): -3.368